Rb2TePtBr6 | PBE-GGA | relaxed

Calculated values
For the density of states at the Fermi level, the calculation gives 2.80 states/eV/f.u. The formation energy without anion corrections comes out at -0.8116 eV/atom.

Cell lengths 7.851, 7.851, 7.834 Å; angles 59.93, 59.93, 90.00 degrees
Atoms (fractional coordinates):
Br 0.763 0.763 0.473
Br 0.237 0.237 0.527
Br 0.765 0.765 0.000
Br 0.235 0.235 0.000
Br 0.765 0.235 0.000
Br 0.235 0.765 0.000
Rb 0.750 0.250 0.500
Rb 0.250 0.750 0.500
Te 0.500 0.500 0.000
Pt 0.000 0.000 0.000

---

CsIn2Ga3 | PBE-GGA | relaxed

Calculated values
For the density of states at the Fermi level, the calculation gives 3.91 states/eV/f.u. The calculation puts the energy at -2.32 eV/atom.

Cell lengths 10.425, 10.425, 10.425 Å; angles 60.00, 60.00, 60.00 degrees
Atoms (fractional coordinates):
Ga 0.594 0.156 0.156
Ga 0.406 0.844 0.406
Ga 0.156 0.156 0.594
Ga 0.844 0.406 0.844
Ga 0.594 0.156 0.594
Ga 0.406 0.844 0.844
Ga 0.844 0.844 0.406
Ga 0.594 0.594 0.156
Ga 0.156 0.594 0.156
Ga 0.406 0.406 0.844
Ga 0.156 0.594 0.594
Ga 0.844 0.406 0.406
In 0.296 0.735 0.735
In 0.265 0.265 0.265
In 0.735 0.735 0.296
In 0.704 0.265 0.265
In 0.265 0.265 0.704
In 0.735 0.735 0.735
In 0.735 0.296 0.735
In 0.265 0.704 0.265
Cs 0.500 0.000 0.000
Cs 0.000 0.500 0.000
Cs 0.000 0.000 0.500
Cs 0.000 0.000 0.000

---

LiIn3Hg | PBE-GGA | relaxed

Calculated values
For the density of states at the Fermi level, the calculation gives 1.78 states/eV/f.u. The calculation puts the energy at -2.19 eV/atom.

Cell lengths 3.264, 7.877, 11.161 Å; angles 120.93, 98.41, 90.00 degrees
Atoms (fractional coordinates):
Hg 0.926 0.964 0.851
Hg 0.074 0.036 0.149
In 0.818 0.524 0.637
In 0.705 0.076 0.411
In 0.082 0.661 0.163
In 0.295 0.924 0.589
In 0.182 0.476 0.363
In 0.918 0.339 0.837
Li 0.537 0.282 0.074
Li 0.463 0.718 0.926

---

Rb3Er3TcO8 | PBE-GGA | relaxed

Calculated values
The formation energy without anion corrections comes out at -2.4737 eV/atom.

Cell lengths 6.751, 6.751, 7.657 Å; angles 116.17, 90.00, 120.00 degrees
Atoms (fractional coordinates):
O 0.791 0.581 0.336
O 0.745 0.954 0.664
O 0.255 0.046 0.336
O 0.277 0.553 0.330
O 0.791 0.046 0.336
O 0.209 0.419 0.664
O 0.209 0.954 0.664
O 0.723 0.447 0.670
Tc 0.000 0.000 0.500
Rb 0.000 0.500 0.000
Rb 0.000 0.000 0.000
Rb 0.500 0.500 0.000
Er 0.000 0.500 0.500
Er 0.500 0.000 0.500
Er 0.500 0.500 0.500

---

Na2UInBr8 | PBE-GGA | relaxed

Calculated values
For the density of states at the Fermi level, the calculation gives 4.70 states/eV/f.u. The formation energy without anion corrections comes out at -1.2102 eV/atom.

Cell lengths 7.001, 6.768, 9.152 Å; angles 90.01, 89.99, 94.61 degrees
Atoms (fractional coordinates):
Na 0.500 0.500 0.744
Na 0.500 0.500 0.256
Br 0.837 0.206 0.223
Br 0.317 0.274 0.000
Br 0.837 0.206 0.777
Br 0.686 0.705 0.500
Br 0.683 0.726 0.000
Br 0.163 0.794 0.777
Br 0.163 0.794 0.223
Br 0.314 0.295 0.500
U 0.000 0.000 0.000
In 0.000 0.000 0.500

---

BaScSi2Ni | PBE-GGA | relaxed

Calculated values
For the density of states at the Fermi level, the calculation gives 4.07 states/eV/f.u. The formation energy without anion corrections comes out at 0.2822 eV/atom.

Cell lengths 4.619, 5.302, 4.619 Å; angles 90.00, 90.00, 90.00 degrees
Atoms (fractional coordinates):
Sc 0.500 0.500 0.500
Si 0.000 0.000 0.500
Si 0.500 0.000 0.000
Ba 0.000 0.500 0.000
Ni 0.000 0.000 0.000

---

BaAs3Rh5 | PBE-GGA | relaxed

Calculated values
For the density of states at the Fermi level, the calculation gives 4.95 states/eV/f.u. The calculation puts the energy at -6.46 eV/atom.

Cell lengths 4.031, 6.714, 12.748 Å; angles 90.00, 90.00, 107.47 degrees
Atoms (fractional coordinates):
As 0.105 0.211 0.750
As 0.384 0.768 0.541
As 0.616 0.232 0.459
As 0.895 0.789 0.250
As 0.616 0.232 0.041
As 0.384 0.768 0.959
Rh 0.000 0.000 0.500
Rh 0.000 0.000 0.000
Rh 0.201 0.401 0.932
Rh 0.201 0.401 0.568
Rh 0.559 0.118 0.860
Rh 0.799 0.599 0.068
Rh 0.799 0.599 0.432
Rh 0.441 0.882 0.140
Rh 0.441 0.882 0.360
Rh 0.559 0.118 0.640
Ba 0.163 0.326 0.250
Ba 0.837 0.674 0.750

---

LiTbScPt | PBE-GGA | relaxed

Calculated values
For the density of states at the Fermi level, the calculation gives 3.22 states/eV/f.u. The calculation puts the energy at -5.40 eV/atom.

Cell lengths 4.844, 4.844, 4.844 Å; angles 60.00, 60.00, 60.00 degrees
Atoms (fractional coordinates):
Li 0.250 0.250 0.250
Pt 0.750 0.750 0.750
Tb 0.000 0.000 0.000
Sc 0.500 0.500 0.500

---

TbPm3Hg4 | PBE-GGA | relaxed

Calculated values
For the density of states at the Fermi level, the calculation gives 9.23 states/eV/f.u. The calculation puts the energy at -2.99 eV/atom.

Cell lengths 3.789, 3.789, 15.227 Å; angles 90.00, 90.00, 90.00 degrees
Atoms (fractional coordinates):
Pm 0.500 0.500 0.500
Pm 0.500 0.500 0.753
Pm 0.500 0.500 0.247
Hg 0.000 0.000 0.882
Hg 0.000 0.000 0.626
Hg 0.000 0.000 0.118
Hg 0.000 0.000 0.374
Tb 0.500 0.500 0.000

---

Na2LiTbBr6 | PBE-GGA | relaxed

Calculated values
For the density of states at the Fermi level, the calculation gives 0.00 states/eV/f.u. The formation energy without anion corrections comes out at -1.6691 eV/atom.

Cell lengths 7.323, 7.323, 7.763 Å; angles 61.88, 61.89, 60.00 degrees
Atoms (fractional coordinates):
Br 0.589 0.202 0.260
Br 0.950 0.589 0.260
Br 0.705 0.093 0.757
Br 0.093 0.444 0.757
Br 0.202 0.949 0.260
Br 0.444 0.705 0.757
Li 0.813 0.813 0.561
Na 0.018 0.018 0.946
Na 0.524 0.524 0.429
Tb 0.324 0.324 0.027

---

Sm3Zn2Cd4 | PBE-GGA | relaxed

Calculated values
For the density of states at the Fermi level, the calculation gives 7.03 states/eV/f.u. The calculation puts the energy at -2.58 eV/atom.

Cell lengths 4.901, 5.997, 9.134 Å; angles 115.24, 90.00, 114.12 degrees
Atoms (fractional coordinates):
Sm 0.667 0.334 0.662
Sm 0.000 0.000 0.000
Sm 0.333 0.666 0.338
Cd 0.719 0.437 0.059
Cd 0.056 0.112 0.384
Cd 0.281 0.563 0.941
Cd 0.944 0.888 0.616
Zn 0.608 0.216 0.277
Zn 0.392 0.784 0.723

---

KAsSe2Br | PBE-GGA | relaxed

Calculated values
For the density of states at the Fermi level, the calculation gives 3.71 states/eV/f.u. The formation energy without anion corrections comes out at -0.4041 eV/atom.

Cell lengths 5.079, 5.079, 5.706 Å; angles 90.00, 90.00, 90.00 degrees
Atoms (fractional coordinates):
Br 0.000 0.000 0.500
K 0.500 0.500 0.500
Se 0.000 0.500 0.000
Se 0.500 0.000 0.000
As 0.000 0.000 0.000

---

Tm3Tl4SbSe8 | PBE-GGA | relaxed

Calculated values
The formation energy without anion corrections comes out at -1.1194 eV/atom.

Cell lengths 8.324, 9.115, 8.324 Å; angles 117.20, 120.00, 90.00 degrees
Atoms (fractional coordinates):
Se 0.730 0.703 0.967
Se 0.237 0.703 0.473
Se 0.763 0.297 0.033
Se 0.734 0.701 0.468
Se 0.763 0.297 0.527
Se 0.237 0.703 0.967
Se 0.270 0.297 0.033
Se 0.266 0.299 0.532
Tl 0.500 0.000 0.000
Tl 0.500 0.000 0.500
Tl 0.000 0.000 0.000
Tl 0.000 0.000 0.500
Sb 0.000 0.500 0.000
Tm 0.500 0.500 0.500
Tm 0.000 0.500 0.500
Tm 0.500 0.500 0.000

---

Rb2CaTc | PBE-GGA | relaxed

Calculated values
For the density of states at the Fermi level, the calculation gives 5.23 states/eV/f.u. The calculation puts the energy at -2.25 eV/atom.

Cell lengths 6.220, 6.220, 6.220 Å; angles 60.00, 60.00, 60.00 degrees
Atoms (fractional coordinates):
Rb 0.750 0.750 0.750
Rb 0.250 0.250 0.250
Ca 0.000 0.000 0.000
Tc 0.500 0.500 0.500

---

Ba3TlO5 | PBE-GGA | relaxed

Calculated values
For the density of states at the Fermi level, the calculation gives 7.22 states/eV/f.u. The formation energy without anion corrections comes out at -1.8277 eV/atom.

Cell lengths 7.397, 7.397, 8.276 Å; angles 116.55, 116.55, 90.00 degrees
Atoms (fractional coordinates):
O 0.796 0.984 0.280
O 0.516 0.704 0.720
O 0.000 0.000 0.000
O 0.296 0.796 0.280
O 0.204 0.016 0.720
O 0.500 0.500 0.000
O 0.984 0.484 0.280
O 0.704 0.204 0.720
O 0.484 0.296 0.280
O 0.016 0.516 0.720
Ba 0.830 0.670 0.000
Ba 0.250 0.250 0.500
Ba 0.750 0.750 0.500
Ba 0.170 0.330 0.000
Ba 0.670 0.170 0.000
Ba 0.330 0.830 0.000
Tl 0.250 0.750 0.500
Tl 0.750 0.250 0.500

---

BAuN2F | PBE-GGA | relaxed

Calculated values
For the density of states at the Fermi level, the calculation gives 3.02 states/eV/f.u. The formation energy without anion corrections comes out at 2.1088 eV/atom.

Cell lengths 3.938, 3.938, 5.369 Å; angles 90.00, 90.00, 90.00 degrees
Atoms (fractional coordinates):
Au 0.000 0.000 0.000
N 0.500 0.000 0.000
N 0.000 0.500 0.000
F 0.000 0.000 0.500
B 0.500 0.500 0.500

---

V8SiP2 | PBE-GGA | relaxed

Calculated values
For the density of states at the Fermi level, the calculation gives 8.73 states/eV/f.u. The formation energy without anion corrections comes out at -0.4110 eV/atom.

Cell lengths 4.489, 6.174, 6.174 Å; angles 113.41, 100.44, 100.44 degrees
Atoms (fractional coordinates):
P 0.000 0.313 0.687
P 0.000 0.687 0.313
V 0.100 0.087 0.314
V 0.663 0.383 0.383
V 0.500 0.239 0.761
V 0.900 0.686 0.913
V 0.100 0.314 0.087
V 0.900 0.913 0.686
V 0.500 0.761 0.239
V 0.337 0.617 0.617
Si 0.500 0.000 0.000

---

ZnPd4Pt2 | PBE-GGA | relaxed

Calculated values
For the density of states at the Fermi level, the calculation gives 11.65 states/eV/f.u. The calculation puts the energy at -5.05 eV/atom.

Cell lengths 5.359, 6.677, 7.298 Å; angles 118.60, 95.38, 105.23 degrees
Atoms (fractional coordinates):
Pt 0.779 0.996 0.304
Pt 0.687 0.401 0.338
Pt 0.541 0.254 0.620
Pt 0.067 0.273 0.731
Pd 0.497 0.712 0.883
Pd 0.396 0.110 0.905
Pd 0.970 0.690 0.767
Pd 0.640 0.854 0.594
Pd 0.251 0.971 0.198
Pd 0.349 0.562 0.161
Pd 0.207 0.429 0.448
Pd 0.832 0.538 0.054
Zn 0.922 0.136 0.020
Zn 0.113 0.825 0.478

---

Hf4AsPt | PBE-GGA | relaxed

Calculated values
For the density of states at the Fermi level, the calculation gives 5.52 states/eV/f.u. The calculation puts the energy at -8.81 eV/atom.

Cell lengths 6.479, 6.501, 6.332 Å; angles 90.00, 92.87, 90.00 degrees
Atoms (fractional coordinates):
Pt 0.500 0.500 0.000
Pt 0.000 0.000 0.000
Hf 0.849 0.137 0.360
Hf 0.859 0.652 0.142
Hf 0.349 0.363 0.360
Hf 0.359 0.848 0.142
Hf 0.141 0.348 0.858
Hf 0.651 0.637 0.640
Hf 0.641 0.152 0.858
Hf 0.151 0.863 0.640
As 0.000 0.500 0.500
As 0.500 0.000 0.500

---

MgScHg | PBE-GGA | relaxed

Calculated values
For the density of states at the Fermi level, the calculation gives 3.67 states/eV/f.u. The calculation puts the energy at -2.53 eV/atom.

Cell lengths 4.802, 4.802, 4.802 Å; angles 60.00, 60.00, 60.00 degrees
Atoms (fractional coordinates):
Mg 0.500 0.500 0.500
Sc 0.250 0.250 0.250
Hg 0.000 0.000 0.000